No. 1
# Pm4MgRh

A geometry-optimized Pm4MgRh structure (GGA-PBE, the Alexandria database).

```
Pm4MgRh
1.0
0.000 7.028 7.028
7.028 0.000 7.028
7.028 7.028 0.000
Pm Mg Rh
16 4 4
Direct
0.062 0.062 0.438
0.062 0.438 0.062
0.062 0.438 0.438
0.186 0.186 0.814
0.186 0.814 0.186
0.186 0.814 0.814
0.208 0.597 0.597
0.438 0.062 0.062
0.438 0.062 0.438
0.438 0.438 0.062
0.597 0.208 0.597
0.597 0.597 0.208
0.597 0.597 0.597
0.814 0.186 0.186
0.814 0.186 0.814
0.814 0.814 0.186
0.512 0.829 0.829
0.829 0.512 0.829
0.829 0.829 0.512
0.829 0.829 0.829
0.392 0.392 0.392
0.392 0.392 0.823
0.392 0.823 0.392
0.823 0.392 0.392
```

Calculated values
- ΔE_f (meV/atom) = -357.0
- density (g/cm³) = 6.77


No. 2
# NaIr2PdO8

A geometry-optimized NaIr2PdO8 structure (GGA-PBE, the Alexandria database).

```
NaIr2PdO8
1.0
-3.529 3.529 3.657
3.529 -3.529 3.657
3.529 3.529 -3.657
Na Ir Pd O
1 2 1 8
Direct
0.000 0.000 0.000
0.250 0.750 0.500
0.500 0.500 0.000
0.750 0.250 0.500
0.098 0.401 0.303
0.098 0.795 0.697
0.143 0.350 0.793
0.205 0.902 0.303
0.557 0.350 0.207
0.599 0.902 0.697
0.650 0.443 0.793
0.650 0.857 0.207
```

Calculated values
- raw formation energy (meV/atom) = -401
- density (g/cm³) = 5.85


No. 3
# GaMo2P

A geometry-optimized GaMo2P structure (GGA-PBE, the Alexandria database).

```
GaMo2P
1.0
1.802 1.040 5.736
-1.802 1.040 5.736
0.000 -2.080 5.736
Ga Mo P
1 2 1
Direct
0.000 0.000 0.000
0.569 0.569 0.569
0.767 0.767 0.767
0.166 0.166 0.166
```

Calculated values
- ΔE_f (meV/atom) = -94.7
- density (g/cm³) = 7.53


No. 4
# Nb2Ir2Ru

A geometry-optimized Nb2Ir2Ru structure (GGA-PBE, the Alexandria database).

```
Nb2Ir2Ru
1.0
7.696 0.000 0.000
0.000 7.696 0.000
0.000 0.000 2.866
Nb Ir Ru
4 4 2
Direct
0.163 0.337 0.000
0.337 0.837 0.000
0.663 0.163 0.000
0.837 0.663 0.000
0.133 0.633 0.500
0.367 0.133 0.500
0.633 0.867 0.500
0.867 0.367 0.500
0.000 0.000 0.000
0.500 0.500 0.000
```

Calculated values
- ΔE_f (meV/atom) = -25.2
- density (g/cm³) = 13.13


No. 5
# Pr4DyTm3Se8

A geometry-optimized Pr4DyTm3Se8 structure (GGA-PBE, the Alexandria database).

```
Pr4DyTm3Se8
1.0
4.075 2.353 7.035
-4.075 2.353 7.035
0.000 -4.705 7.035
Pr Dy Tm Se
4 1 3 8
Direct
0.000 0.000 0.000
0.000 0.500 0.500
0.500 0.000 0.500
0.500 0.500 0.000
0.500 0.500 0.500
0.000 0.000 0.500
0.000 0.500 0.000
0.500 0.000 0.000
0.240 0.744 0.744
0.242 0.242 0.242
0.256 0.256 0.760
0.256 0.760 0.256
0.744 0.240 0.744
0.744 0.744 0.240
0.758 0.758 0.758
0.760 0.256 0.256
```

Calculated values
- raw formation energy (meV/atom) = -1774
- density (g/cm³) = 7.65


No. 6
# ErSc3In2

A geometry-optimized ErSc3In2 structure (GGA-PBE, the Alexandria database).

```
ErSc3In2
1.0
-1.623 2.648 8.923
1.623 -2.648 8.923
1.623 2.648 -8.923
Er Sc In
1 3 2
Direct
0.000 0.000 0.000
0.191 0.191 0.000
0.500 0.000 0.500
0.809 0.809 0.000
0.357 0.357 0.000
0.643 0.643 0.000
```

Calculated values
- ΔE_f (meV/atom) = 116.5
- density (g/cm³) = 5.76